Record 1
# LiY4In

Crystalline LiY4In at its relaxed geometry (GGA-PBE, the Alexandria database).

Cell lengths 6.4009, 6.4009, 6.4009 Å; angles 60.00, 60.00, 60.00 degrees
Last column: nearest neighbours and their distance in Å.
Positions (direct):
Y1 0.3761 0.8718 0.3761  6 Y 3.17-3.23
Y2 0.8718 0.3761 0.3761  6 Y 3.17-3.23
Y3 0.3761 0.3761 0.3761  6 Y 3.17-3.23
Y4 0.3761 0.3761 0.8718  6 Y 3.17-3.23
In1 0.7500 0.7500 0.7500  12 Y 3.75, 4 Li 3.92
Li1 0.0000 0.0000 0.0000  12 Y 3.76, 4 In 3.92

Summary:
As for the formation energy from the elements: 284 meV/atom. The spin magnetization is 0.000 μB per formula unit. The theoretical density comes out at 4.3 g/cm3. As for the space-group type: F-43m.

Record 2
# Y2HgRu

Crystalline Y2HgRu at its relaxed geometry (GGA-PBE, the Alexandria database).

Cell lengths 8.0647, 8.0647, 8.0647 Å; angles 39.46, 154.60, 150.31 degrees
Last column: nearest neighbours and their distance in Å.
Positions (direct):
Hg1 0.0000 0.5000 0.5000  4 Ru 2.72
Y1 0.0000 0.8350 0.8350  1 Ru 2.50
Y2 0.0000 0.1650 0.1650  1 Ru 2.50
Ru1 0.0000 0.0000 0.0000  2 Y 2.50, 4 Hg 2.72

Summary:
As for the formation energy from the elements: 178 meV/atom. The spin magnetization is 0.001 μB per formula unit. The theoretical density comes out at 7.2 g/cm3. As for the space-group type: Immm.

Record 3
# BeTlNi2

Crystalline BeTlNi2 at its relaxed geometry (GGA-PBE, the Alexandria database).

Cell lengths 4.9305, 4.9305, 4.9305 Å; angles 141.74, 133.27, 61.93 degrees
Last column: nearest neighbours and their distance in Å.
Positions (direct):
Tl1 0.4765 0.4765 0.0000  8 Ni 2.60-2.84, 4 Be 2.68-2.87
Be1 0.2243 0.7243 0.5000  2 Ni 2.21
Ni1 0.0465 0.0465 0.0000  2 Be 2.21
Ni2 0.7526 0.2526 0.5000  4 Be 2.55, 2 Ni 2.62, 4 Tl 2.72-2.84

Summary:
For the energy above the most stable polymorph in this dataset, the calculation gives 129 meV/atom. As for the formation energy from the elements: 223 meV/atom. The spin magnetization is 0.000 μB per formula unit. The theoretical density comes out at 10.3 g/cm3. As for the space-group type: Imm2.

Record 4
# Dy3Cd3Rh2

Crystalline Dy3Cd3Rh2 at its relaxed geometry (GGA-PBE, the Alexandria database).

Cell lengths 3.6188, 7.6160, 7.6160 Å; angles 120.00, 90.00, 90.00 degrees
Last column: nearest neighbours and their distance in Å.
Positions (direct):
Dy1 0.5000 0.0000 0.5747  4 Rh 2.90, 2 Cd 3.19
Dy2 0.5000 0.4253 0.4253  4 Rh 2.90, 2 Cd 3.19
Dy3 0.5000 0.5747 0.0000  4 Rh 2.90, 2 Cd 3.19
Cd1 0.0000 0.7700 0.7700  2 Rh 3.01, 2 Cd 3.03, 6 Dy 3.19-3.34
Cd2 0.0000 0.2300 0.0000  2 Rh 3.01, 2 Cd 3.03, 6 Dy 3.19-3.34
Cd3 0.0000 0.0000 0.2300  2 Rh 3.01, 2 Cd 3.03, 6 Dy 3.19-3.34
Rh1 0.0000 0.6667 0.3333  6 Dy 2.90, 3 Cd 3.01
Rh2 0.0000 0.3333 0.6667  6 Dy 2.90, 3 Cd 3.01

Summary:
As for the formation energy from the elements: -584 meV/atom. The spin magnetization is 0.000 μB per formula unit. The theoretical density comes out at 9.4 g/cm3. As for the space-group type: P-62m.

Record 5
# ReHgSb

Crystalline ReHgSb at its relaxed geometry (GGA-PBE, the Alexandria database).

Cell lengths 4.5577, 4.5577, 4.5577 Å; angles 60.00, 60.00, 60.00 degrees
Last column: nearest neighbours and their distance in Å.
Positions (direct):
Re1 0.2500 0.2500 0.2500  4 Hg 2.79, 4 Sb 2.79
Sb1 0.0000 0.0000 0.0000  4 Re 2.79
Hg1 0.5000 0.5000 0.5000  4 Re 2.79

Summary:
For the energy above the most stable polymorph in this dataset, the calculation gives 142 meV/atom. The spin magnetization is 0.001 μB per formula unit. The theoretical density comes out at 12.6 g/cm3. As for the space-group type: F-43m.

Record 6
# TcNiOs

Crystalline TcNiOs at its relaxed geometry (GGA-PBE, the Alexandria database).

Cell lengths 4.1887, 4.1887, 2.6609 Å; angles 90.00, 90.00, 120.00 degrees
Last column: nearest neighbours and their distance in Å.
Positions (direct):
Ni1 0.0000 0.0000 0.1666  3 Os 2.42, 2 Ni 2.66
Os1 0.6667 0.3333 0.1666  3 Ni 2.42, 2 Os 2.66
Tc1 0.3333 0.6667 0.6668  2 Tc 2.66, 6 Ni 2.76, 6 Os 2.76

Summary:
For the energy above the most stable polymorph in this dataset, the calculation gives 110 meV/atom. As for the formation energy from the elements: 128 meV/atom. The spin magnetization is 0.000 μB per formula unit. The theoretical density comes out at 14.2 g/cm3. As for the space-group type: P-6m2.

Record 7
# SrCdW2

Crystalline SrCdW2 at its relaxed geometry (GGA-PBE, the Alexandria database).

Cell lengths 2.9628, 2.9628, 10.1690 Å; angles 90.00, 90.00, 110.23 degrees
Last column: nearest neighbours and their distance in Å.
Positions (direct):
Sr1 0.5000 0.5000 0.7632  4 Sr 2.96, 2 W 3.25
W1 0.0000 0.0000 0.0364  2 W 2.59
W2 0.5000 0.5000 0.2286  2 W 2.59
Cd1 0.0000 0.0000 0.4718  4 Cd 2.96, 2 W 3.00

Summary:
As for the formation energy from the elements: 691 meV/atom. The spin magnetization is 0.000 μB per formula unit. The theoretical density comes out at 11.3 g/cm3. As for the space-group type: Cmm2.

Record 8
# YMg2Au

Crystalline YMg2Au at its relaxed geometry (GGA-PBE, the Alexandria database).

Cell lengths 4.9774, 4.9774, 4.9821 Å; angles 59.96, 59.96, 60.00 degrees
Last column: nearest neighbours and their distance in Å.
Positions (direct):
Mg1 0.2502 0.2502 0.2498  4 Mg 3.05, 4 Y 3.05
Mg2 0.0001 0.0001 0.9999  4 Au 3.05, 4 Mg 3.05
Y1 0.4999 0.4999 0.5000  4 Mg 3.05, 4 Au 3.05
Au1 0.7497 0.7497 0.7502  4 Mg 3.05, 4 Y 3.05

Summary:
As for the formation energy from the elements: -447 meV/atom. The spin magnetization is 0.000 μB per formula unit. The theoretical density comes out at 6.4 g/cm3. As for the space-group type: I-4m2.